Record 1
# Tb4PrEr2Tm | the Alexandria database | PBE | relaxed
data_Tb4PrEr2Tm
_chemical_formula_sum 'Tb16 Pr4 Er8 Tm4'
_cell_length_a 13.576
_cell_length_b 13.231
_cell_length_c 6.787
_cell_angle_alpha 90.00
_cell_angle_beta 119.99
_cell_angle_gamma 90.00
_symmetry_space_group_name_H-M 'C 1 2/c 1'
_symmetry_Int_Tables_number 15
loop_
_symmetry_equiv_pos_as_xyz
'x,y,z'
'-x,-y,-z'
'-x,y,-z+1/2'
'x,-y,z+1/2'
'x+1/2,y+1/2,z'
'-x+1/2,-y+1/2,-z'
'-x+1/2,y+1/2,-z+1/2'
'x+1/2,-y+1/2,z+1/2'
loop_
_atom_site_label
_atom_site_type_symbol
_atom_site_fract_x
_atom_site_fract_y
_atom_site_fract_z
_atom_site_occupancy
Tb1 Tb 0.000 0.249 0.002 1
Tb2 Tb 0.249 0.002 0.501 1
Pr1 Pr 0.250 0.250 0.000 1
Er1 Er 0.000 0.500 0.000 1
Er2 Er 0.250 0.250 0.500 1
Tm1 Tm 0.000 0.000 0.000 1
# total magnetic moment: 2.31 μB/f.u.
# formation enthalpy at 0 K: 0.43 eV per atom
# DOS(E_F): 72.3 states/eV per cell
# V: 264 Å³/f.u.
# E: -33.5 eV per formula unit

Record 2
# Ce2HoGa3Au4 | the Alexandria database | PBE | relaxed
data_Ce2HoGa3Au4
_chemical_formula_sum 'Ce2 Ho1 Ga3 Au4'
_cell_length_a 4.395
_cell_length_b 4.395
_cell_length_c 11.582
_cell_angle_alpha 90.00
_cell_angle_beta 90.00
_cell_angle_gamma 90.00
_symmetry_space_group_name_H-M 'P -4 m 2'
_symmetry_Int_Tables_number 115
loop_
_symmetry_equiv_pos_as_xyz
'x,y,z'
'y,-x,-z'
'-x,-y,z'
'-y,x,-z'
'-x,y,z'
'-y,-x,-z'
'x,-y,z'
'y,x,-z'
loop_
_atom_site_label
_atom_site_type_symbol
_atom_site_fract_x
_atom_site_fract_y
_atom_site_fract_z
_atom_site_occupancy
Ce1 Ce 0.000 0.500 0.220 1
Ho1 Ho 0.000 0.000 0.500 1
Ga1 Ga 0.000 0.500 0.874 1
Ga2 Ga 0.500 0.500 0.500 1
Au1 Au 0.000 0.000 0.000 1
Au2 Au 0.000 0.500 0.656 1
Au3 Au 0.500 0.500 0.000 1
# total magnetic moment: 2.06 μB/f.u.
# formation enthalpy at 0 K: -0.60 eV per atom
# DOS(E_F): 17.5 states/eV per cell
# V: 224 Å³/f.u.
# E: -44.7 eV per formula unit

Record 3
# Mg2FeTc | the Alexandria database | PBE | relaxed
data_Mg2FeTc
_chemical_formula_sum 'Mg2 Fe1 Tc1'
_cell_length_a 2.678
_cell_length_b 2.678
_cell_length_c 8.652
_cell_angle_alpha 90.00
_cell_angle_beta 90.00
_cell_angle_gamma 90.00
_symmetry_space_group_name_H-M 'P 4/m m m'
_symmetry_Int_Tables_number 123
_symmetry_space_group_name_Hall '-P 4 2'
loop_
_atom_site_label
_atom_site_type_symbol
_atom_site_fract_x
_atom_site_fract_y
_atom_site_fract_z
_atom_site_occupancy
Mg1 Mg 0.000 0.000 0.240 1
Fe1 Fe 0.500 0.500 0.000 1
Tc1 Tc 0.500 0.500 0.500 1
# total magnetic moment: 2.43 μB/f.u.
# formation enthalpy at 0 K: 0.27 eV per atom
# offset from the most stable computed form: 171 meV/atom
# DOS(E_F): 2.8 states/eV per cell
# V: 62 Å³/f.u.
# E: -20.9 eV per formula unit

Record 4
# Li2ScFe | the Alexandria database | PBE | relaxed
data_Li2ScFe
_chemical_formula_sum 'Li2 Sc1 Fe1'
_cell_length_a 2.942
_cell_length_b 2.942
_cell_length_c 8.252
_cell_angle_alpha 90.00
_cell_angle_beta 90.00
_cell_angle_gamma 90.00
_symmetry_space_group_name_H-M 'P 4 m m'
_symmetry_Int_Tables_number 99
loop_
_symmetry_equiv_pos_as_xyz
'x,y,z'
'-y,x,z'
'-x,-y,z'
'y,-x,z'
'-x,y,z'
'y,x,z'
'x,-y,z'
'-y,-x,z'
loop_
_atom_site_label
_atom_site_type_symbol
_atom_site_fract_x
_atom_site_fract_y
_atom_site_fract_z
_atom_site_occupancy
Li1 Li 0.000 0.000 0.000 1
Li2 Li 0.500 0.500 0.264 1
Sc1 Sc 0.000 0.000 0.579 1
Fe1 Fe 0.500 0.500 0.793 1
# total magnetic moment: 1.99 μB/f.u.
# formation enthalpy at 0 K: 0.18 eV per atom
# offset from the most stable computed form: 0 meV/atom
# DOS(E_F): 3.6 states/eV per cell
# V: 71 Å³/f.u.
# E: -17.9 eV per formula unit

The highest total magnetic moment belongs to which entry? Mg2FeTc

Which value of DOS(E_F) does entry 1 give? 72.3 states/eV per cell

The highest formation enthalpy at 0 K belongs to which entry? Tb4PrEr2Tm